No. 1
Computed, not measured: an optimized crystal structure of Na3Pm2CuO6 at the PBE-GGA level of DFT.

a = 5.8782 Å, b = 5.8782 Å, c = 5.8951 Å
α = 99.02°, β = 99.02°, γ = 120.30°
Last column: nearest neighbours and their distance in Å.
Sites, in units of the cell vectors:
Na 0.0000 0.0000 0.0000  6 O 2.48-2.64
Na 0.3518 0.6482 0.0000  4 O 2.39-2.42
Na 0.6482 0.3518 0.0000  4 O 2.39-2.42
Pm 0.1678 0.8322 0.5000  6 O 2.36-2.37
Pm 0.8322 0.1678 0.5000  6 O 2.36-2.37
Cu 0.5000 0.5000 0.5000  6 O 2.13-2.19
O 0.1207 0.4298 0.2818  1 Cu 2.19, 2 Pm 2.36-2.37, 1 Na 2.42
O 0.2607 0.2607 0.7067  1 Cu 2.13, 2 Pm 2.36
O 0.4298 0.1207 0.2818  1 Cu 2.19, 2 Pm 2.36-2.37, 1 Na 2.42
O 0.5702 0.8793 0.7182  1 Cu 2.19, 2 Pm 2.36-2.37, 1 Na 2.42
O 0.7393 0.7393 0.2933  1 Cu 2.13, 2 Pm 2.36
O 0.8793 0.5702 0.7182  1 Cu 2.19, 2 Pm 2.36-2.37, 1 Na 2.42

Properties
For the total magnetic moment, the calculation gives 0.164 μB/atom. The space group is C2/m, No. 12. The calculation puts the calculated density at 5.2 g/cm³. The calculation puts the electronic total energy at -70.99 eV for the cell shown.


No. 2
Computed, not measured: an optimized crystal structure of SiBiP2S at the PBE-GGA level of DFT.

a = 4.6285 Å, b = 4.6285 Å, c = 4.5492 Å
α = 90.00°, β = 90.00°, γ = 90.00°
Last column: nearest neighbours and their distance in Å.
Sites, in units of the cell vectors:
Si 0.0000 0.0000 0.0000  2 S 2.27, 4 P 2.31
Bi 0.5000 0.5000 0.5000  8 P 3.24, 4 S 3.27
P 0.0000 0.5000 0.0000  2 Si 2.31
P 0.5000 0.0000 0.0000  2 Si 2.31
S 0.0000 0.0000 0.5000  2 Si 2.27

Properties
For the total magnetic moment, the calculation gives 0.000 μB/atom. Its distance to the lowest polymorph of the same formula is 0 meV/atom. The space group is P4/mmm, No. 123. The calculation puts the calculated density at 5.6 g/cm³. The calculation puts the electronic total energy at -22.31 eV for the cell shown.


No. 3
Computed, not measured: an optimized crystal structure of HfVW2 at the PBE-GGA level of DFT.

a = 10.4831 Å, b = 10.4831 Å, c = 10.4831 Å
α = 159.28°, β = 159.28°, γ = 29.47°
Last column: nearest neighbours and their distance in Å.
Sites, in units of the cell vectors:
Hf 0.0000 0.0000 0.0000  4 V 2.67, 4 W 2.87
Hf 0.7500 0.2500 0.5000  4 V 2.67, 4 W 2.87
V 0.2500 0.7500 0.5000  4 Hf 2.67, 4 W 2.86
V 0.5000 0.5000 0.0000  4 Hf 2.67, 4 W 2.86
W 0.1291 0.6250 0.0041  4 W 2.64-2.69, 2 V 2.86, 2 Hf 2.87
W 0.3750 0.3791 0.5041  4 W 2.64-2.69, 2 V 2.86, 2 Hf 2.87
W 0.6209 0.1250 0.9959  4 W 2.64-2.69, 2 V 2.86, 2 Hf 2.87
W 0.8750 0.8709 0.4959  4 W 2.64-2.69, 2 V 2.86, 2 Hf 2.87

Properties
For the total magnetic moment, the calculation gives 0.001 μB/atom. Its distance to the lowest polymorph of the same formula is 663 meV/atom. The space group is I-42d, No. 122. The calculation puts the calculated density at 13.8 g/cm³. As for the formation energy: 0.7979 eV per atom. The calculation puts the electronic total energy at -83.57 eV for the cell shown.


No. 4
Computed, not measured: an optimized crystal structure of Ag2GeN at the PBE-GGA level of DFT.

a = 4.4081 Å, b = 4.4081 Å, c = 4.4081 Å
α = 60.00°, β = 60.00°, γ = 60.00°
Last column: nearest neighbours and their distance in Å.
Sites, in units of the cell vectors:
Ag 0.2500 0.2500 0.2500  4 Ge 2.70, 4 N 2.70
Ag 0.7500 0.7500 0.7500  4 Ge 2.70, 4 N 2.70
Ge 0.0000 0.0000 0.0000  8 Ag 2.70
N 0.5000 0.5000 0.5000  8 Ag 2.70

Properties
For the total magnetic moment, the calculation gives 0.000 μB/atom. Its distance to the lowest polymorph of the same formula is 0 meV/atom. The space group is Fm-3m, No. 225. The calculation puts the calculated density at 8.3 g/cm³. The calculation puts the electronic total energy at -14.75 eV for the cell shown.


No. 5
Computed, not measured: an optimized crystal structure of MnNbInTc at the PBE-GGA level of DFT.

a = 4.5132 Å, b = 4.5132 Å, c = 4.5132 Å
α = 60.00°, β = 60.00°, γ = 60.00°
Last column: nearest neighbours and their distance in Å.
Sites, in units of the cell vectors:
Mn 0.0000 0.0000 0.0000  4 In 2.76, 4 Nb 2.76
Nb 0.2500 0.2500 0.2500  4 Tc 2.76, 4 Mn 2.76
In 0.7500 0.7500 0.7500  4 Tc 2.76, 4 Mn 2.76
Tc 0.5000 0.5000 0.5000  4 In 2.76, 4 Nb 2.76

Properties
For the total magnetic moment, the calculation gives 0.512 μB/atom. The space group is F-43m, No. 216. The calculation puts the calculated density at 9.2 g/cm³. As for the formation energy: 0.0488 eV per atom. The calculation puts the electronic total energy at -32.15 eV for the cell shown.


No. 6
Computed, not measured: an optimized crystal structure of MgTcP2H at the PBE-GGA level of DFT.

a = 4.6407 Å, b = 4.6407 Å, c = 3.5689 Å
α = 90.00°, β = 90.00°, γ = 90.00°
Last column: nearest neighbours and their distance in Å.
Sites, in units of the cell vectors:
Mg 0.0000 0.0000 0.0000  8 P 2.93
Tc 0.5000 0.5000 0.5000  2 H 1.78
P 0.0000 0.5000 0.5000  2 Tc 2.32
P 0.5000 0.0000 0.5000  2 Tc 2.32
H 0.5000 0.5000 0.0000  2 Tc 1.78

Properties
For the total magnetic moment, the calculation gives 0.000 μB/atom. The space group is P4/mmm, No. 123. The calculation puts the calculated density at 4.0 g/cm³. The calculation puts the electronic total energy at -25.75 eV for the cell shown.


No. 7
Computed, not measured: an optimized crystal structure of ThCd11Rh at the PBE-GGA level of DFT.

a = 7.6735 Å, b = 7.6735 Å, c = 7.5589 Å
α = 98.08°, β = 98.08°, γ = 136.16°
Last column: nearest neighbours and their distance in Å.
Sites, in units of the cell vectors:
Th 0.0000 0.0000 0.0000  18 Cd 3.48-3.84, 2 Rh 3.78
Cd 0.0000 0.5000 0.0000  10 Cd 2.86-3.15
Cd 0.0076 0.6686 0.6416  1 Rh 2.93, 6 Cd 3.03-3.15
Cd 0.2802 0.4878 0.7846  1 Rh 2.84, 7 Cd 2.89-3.13
Cd 0.3314 0.9924 0.3584  1 Rh 2.93, 6 Cd 3.03-3.15
Cd 0.4878 0.2802 0.7846  1 Rh 2.84, 7 Cd 2.89-3.13
Cd 0.5000 0.0000 0.0000  10 Cd 2.86-3.15
Cd 0.5000 0.5000 0.5000  2 Rh 2.86, 8 Cd 2.89-3.03
Cd 0.5122 0.7198 0.2154  1 Rh 2.84, 7 Cd 2.89-3.13
Cd 0.6686 0.0076 0.6416  1 Rh 2.93, 6 Cd 3.03-3.15
Cd 0.7198 0.5122 0.2154  1 Rh 2.84, 7 Cd 2.89-3.13
Cd 0.9924 0.3314 0.3584  1 Rh 2.93, 6 Cd 3.03-3.15
Rh 0.0000 0.0000 0.5000  10 Cd 2.84-2.93

Properties
For the total magnetic moment, the calculation gives 0.000 μB/atom. The space group is C2/m, No. 12. The calculation puts the calculated density at 9.1 g/cm³. As for the formation energy: -0.0906 eV per atom. The calculation puts the electronic total energy at -26.02 eV for the cell shown.


No. 8
Computed, not measured: an optimized crystal structure of BaPb2W at the PBE-GGA level of DFT.

a = 7.3190 Å, b = 7.3190 Å, c = 7.3190 Å
α = 37.73°, β = 37.73°, γ = 37.73°
Last column: nearest neighbours and their distance in Å.
Sites, in units of the cell vectors:
Ba 0.0000 0.0000 0.0000  6 Pb 3.49-3.69, 1 W 3.63
Pb 0.2115 0.2115 0.2115  3 W 2.96
Pb 0.4400 0.4400 0.4400  3 W 2.91
W 0.8218 0.8218 0.8218  6 Pb 2.91-2.96

Properties
For the total magnetic moment, the calculation gives 0.509 μB/atom. Its distance to the lowest polymorph of the same formula is 108 meV/atom. The space group is R3m, No. 160. The calculation puts the calculated density at 9.3 g/cm³. As for the formation energy: 0.5825 eV per atom. The calculation puts the electronic total energy at -19.96 eV for the cell shown.


total magnetic moment of number 6 (MgTcP2H)?
0.000 μB/atom